First-principles (PBE) data for Sc2ZnAu after structural relaxation, as listed in Alexandria.

The calculation puts the density of states at the Fermi level at 13.3 states/eV per cell. The value obtained for the formation energy is 13.5 kJ/mol of formula units. The total energy is -4.2685 eV/atom.

The structure in CIF format:
```
data_Sc2ZnAu
_cell_length_a 3.4340
_cell_length_b 3.4340
_cell_length_c 28.8801
_cell_angle_alpha 90.00
_cell_angle_beta 90.00
_cell_angle_gamma 120.00
_space_group_name_H-M_alt 'R -3 m'
_space_group_IT_number 166
_space_group_name_Hall '-R 3 2"'
loop_
_atom_site_label
_atom_site_type_symbol
_atom_site_fract_x
_atom_site_fract_y
_atom_site_fract_z
Sc1 Sc 0.0000 0.0000 0.0989
Zn1 Zn 0.0000 0.0000 0.0000
Au1 Au 0.0000 0.0000 0.5000
```


First-principles (PBE) data for ZnH2O after structural relaxation, as listed in Alexandria.

The calculation puts the density of states at the Fermi level at 5.4 states/eV per cell. The total energy is -2.5410 eV/atom.

The structure in CIF format:
```
data_ZnH2O
_cell_length_a 4.844
_cell_length_b 4.844
_cell_length_c 4.844
_cell_angle_alpha 90.00
_cell_angle_beta 90.00
_cell_angle_gamma 90.00
_space_group_name_H-M_alt 'F m -3 m'
_space_group_IT_number 225
_space_group_name_Hall '-F 4 2 3'
loop_
_atom_site_label
_atom_site_type_symbol
_atom_site_fract_x
_atom_site_fract_y
_atom_site_fract_z
Zn1 Zn 0.000 0.000 0.000
H1 H 0.250 0.250 0.250
O1 O 0.000 0.000 0.500
```


First-principles (PBE) data for ZnPtAu after structural relaxation, as listed in Alexandria.

The calculation puts the density of states at the Fermi level at 1.6 states/eV per cell. The value obtained for the formation energy is -82.3 kJ/mol of formula units. The total energy is -3.8149 eV/atom.

The structure in CIF format:
```
data_ZnPtAu
_cell_length_a 2.944
_cell_length_b 2.944
_cell_length_c 10.954
_cell_angle_alpha 90.00
_cell_angle_beta 90.00
_cell_angle_gamma 90.00
_space_group_name_H-M_alt 'I 4 m m'
_space_group_IT_number 107
_space_group_name_Hall 'I 4 -2'
loop_
_atom_site_label
_atom_site_type_symbol
_atom_site_fract_x
_atom_site_fract_y
_atom_site_fract_z
Zn1 Zn 0.000 0.000 0.000
Pt1 Pt 0.000 0.000 0.647
Au1 Au 0.000 0.000 0.333
```


First-principles (PBE) data for Y8TmMg2 after structural relaxation, as listed in Alexandria.

The calculation puts the density of states at the Fermi level at 32.2 states/eV per cell. The value obtained for the formation energy is 142.5 kJ/mol of formula units. The total energy is -5.2633 eV/atom.

The structure in CIF format:
```
data_Y8TmMg2
_cell_length_a 8.806
_cell_length_b 15.430
_cell_length_c 5.644
_cell_angle_alpha 90.00
_cell_angle_beta 114.85
_cell_angle_gamma 90.00
_space_group_name_H-M_alt 'C 1 2/m 1'
_space_group_IT_number 12
loop_
_space_group_symop_operation_xyz
'x,y,z'
'-x,-y,-z'
'-x,y,-z'
'x,-y,z'
'x+1/2,y+1/2,z'
'-x+1/2,-y+1/2,-z'
'-x+1/2,y+1/2,-z'
'x+1/2,-y+1/2,z'
loop_
_atom_site_label
_atom_site_type_symbol
_atom_site_fract_x
_atom_site_fract_y
_atom_site_fract_z
Y1 Y 0.000 0.213 0.000
Y2 Y 0.098 0.500 0.798
Y3 Y 0.208 0.112 0.625
Tm1 Tm 0.000 0.000 0.000
Mg1 Mg 0.000 0.307 0.500
```


First-principles (PBE) data for Tb12Nd7Sc after structural relaxation, as listed in Alexandria.

The calculation puts the density of states at the Fermi level at 96.4 states/eV per cell. The value obtained for the formation energy is 485.0 kJ/mol of formula units. The total energy is -4.5121 eV/atom.

The structure in CIF format:
```
data_Tb12Nd7Sc
_cell_length_a 12.6723
_cell_length_b 12.6723
_cell_length_c 14.4154
_cell_angle_alpha 90.00
_cell_angle_beta 90.00
_cell_angle_gamma 120.00
_space_group_name_H-M_alt 'R -3'
_space_group_IT_number 148
_space_group_name_Hall '-R 3'
loop_
_atom_site_label
_atom_site_type_symbol
_atom_site_fract_x
_atom_site_fract_y
_atom_site_fract_z
Tb1 Tb 0.0173 0.5836 0.2228
Tb2 Tb 0.0647 0.2283 0.8905
Nd1 Nd 0.0000 0.0000 0.0000
Nd2 Nd 0.0587 0.8695 0.3224
Sc1 Sc 0.0000 0.0000 0.5000
```


First-principles (PBE) data for Cu2ReI after structural relaxation, as listed in Alexandria.

For the energy relative to the elements, uncorrected, the calculation gives 1.21 eV per atom. The calculation puts the density of states at the Fermi level at 9.0 states/eV per cell. The total energy is -4.3368 eV/atom.

The structure in CIF format:
```
data_Cu2ReI
_cell_length_a 7.303
_cell_length_b 7.303
_cell_length_c 5.404
_cell_angle_alpha 90.00
_cell_angle_beta 90.00
_cell_angle_gamma 90.00
_space_group_name_H-M_alt 'I -4 2 d'
_space_group_IT_number 122
_space_group_name_Hall 'I -4 2bw'
loop_
_atom_site_label
_atom_site_type_symbol
_atom_site_fract_x
_atom_site_fract_y
_atom_site_fract_z
Cu1 Cu 0.237 0.250 0.125
Re1 Re 0.000 0.000 0.000
I1 I 0.000 0.000 0.500
```


First-principles (PBE) data for Cd3BrCl5 after structural relaxation, as listed in Alexandria.

For the energy relative to the elements, uncorrected, the calculation gives -1.01 eV per atom. The calculation puts the density of states at the Fermi level at 0.0 states/eV per cell. The total energy is -2.5263 eV/atom.

The structure in CIF format:
```
data_Cd3BrCl5
_cell_length_a 12.136
_cell_length_b 8.975
_cell_length_c 9.983
_cell_angle_alpha 90.00
_cell_angle_beta 115.45
_cell_angle_gamma 90.00
_space_group_name_H-M_alt 'C 1 2/m 1'
_space_group_IT_number 12
loop_
_space_group_symop_operation_xyz
'x,y,z'
'-x,-y,-z'
'-x,y,-z'
'x,-y,z'
'x+1/2,y+1/2,z'
'-x+1/2,-y+1/2,-z'
'-x+1/2,y+1/2,-z'
'x+1/2,-y+1/2,z'
loop_
_atom_site_label
_atom_site_type_symbol
_atom_site_fract_x
_atom_site_fract_y
_atom_site_fract_z
Cd1 Cd 0.000 0.000 0.000
Cd2 Cd 0.000 0.000 0.500
Cd3 Cd 0.157 0.500 0.174
Cd4 Cd 0.167 0.500 0.665
Br1 Br 0.107 0.000 0.800
Cl1 Cl 0.000 0.308 0.500
Cl2 Cl 0.069 0.500 0.875
Cl3 Cl 0.166 0.194 0.170
Cl4 Cl 0.232 0.000 0.535
```


First-principles (PBE) data for YGa2ReO8 after structural relaxation, as listed in Alexandria.

For the energy relative to the elements, uncorrected, the calculation gives -1.96 eV per atom. The total energy is -7.3495 eV/atom.

The structure in CIF format:
```
data_YGa2ReO8
_cell_length_a 6.694
_cell_length_b 6.722
_cell_length_c 6.338
_cell_angle_alpha 90.00
_cell_angle_beta 90.00
_cell_angle_gamma 90.00
_space_group_name_H-M_alt 'C m m m'
_space_group_IT_number 65
_space_group_name_Hall '-C 2 2'
loop_
_atom_site_label
_atom_site_type_symbol
_atom_site_fract_x
_atom_site_fract_y
_atom_site_fract_z
Y1 Y 0.000 0.000 0.000
Ga1 Ga 0.000 0.500 0.242
Re1 Re 0.000 0.000 0.500
O1 O 0.000 0.292 0.500
O2 O 0.000 0.320 0.000
O3 O 0.198 0.000 0.290
```